Density functional theory data (PBE with a Hubbard U) for an optimized crystal structure of VCd2TeO6.

```
10
Lattice="5.693 0.000 0.000 0.000 5.693 0.000 0.000 0.000 4.787" Properties=species:S:1:pos:R:3 pbc="T T T"
V 0.000 0.000 0.000
Cd 0.000 2.846 1.766
Cd 2.846 0.000 1.766
Te 2.846 2.846 0.154
O 0.000 0.000 3.097
O 1.338 1.338 0.632
O 1.338 4.354 0.632
O 2.846 2.846 3.052
O 4.354 1.338 0.632
O 4.354 4.354 0.632
```

Properties
uncorrected energy	-5.3502	eV/atom

=====

Density functional theory data (PBE with a Hubbard U) for an optimized crystal structure of VCdTe2O6.

```
20
Lattice="5.459 -5.518 0.000 5.459 5.518 0.000 -1.438 0.000 5.947" Properties=species:S:1:pos:R:3 pbc="T T T"
V 4.380 3.253 4.460
V 5.100 -3.253 1.487
Cd 5.100 4.635 1.487
Cd 4.380 -4.635 4.460
Te 3.647 1.212 1.370
Te 2.928 -1.212 4.344
Te 6.552 1.212 1.603
Te 5.833 -1.212 4.576
O 3.236 4.339 5.274
O 5.525 4.339 3.646
O 3.631 2.303 3.215
O 2.280 0.285 5.376
O 3.000 -0.285 2.403
O 5.129 2.303 5.705
O 4.351 -2.303 0.242
O 6.480 0.285 3.544
O 7.200 -0.285 0.570
O 5.849 -2.303 2.732
O 3.955 -4.339 2.301
O 6.244 -4.339 0.672
```

Properties
uncorrected energy	-5.4862	eV/atom

=====

Density functional theory data (PBE with a Hubbard U) for an optimized crystal structure of VCdTe2O8.

```
12
Lattice="3.473 -3.351 0.000 3.473 3.351 0.000 -0.175 0.000 6.763" Properties=species:S:1:pos:R:3 pbc="T T T"
V 0.000 0.000 0.000
Cd -0.087 0.000 3.382
Te 3.326 0.000 1.651
Te 3.444 0.000 5.113
O 3.296 2.077 1.408
O 3.474 2.077 5.355
O 1.948 0.000 0.225
O 2.134 0.000 3.186
O 4.637 0.000 3.577
O 4.822 0.000 6.538
O 3.296 -2.077 1.408
O 3.474 -2.077 5.355
```

Properties
uncorrected energy	-5.6609	eV/atom

=====

Density functional theory data (PBE with a Hubbard U) for an optimized crystal structure of VCdTe2O.

```
5
Lattice="5.132 0.000 0.000 0.000 5.132 0.000 0.000 0.000 4.288" Properties=species:S:1:pos:R:3 pbc="T T T"
V 0.000 0.000 0.000
Cd 2.566 2.566 0.000
Te 0.000 2.566 2.144
Te 2.566 0.000 2.144
O 2.566 2.566 2.144
```

Properties
uncorrected energy	-3.4620	eV/atom

=====

Density functional theory data (PBE with a Hubbard U) for an optimized crystal structure of CdTeWO6.

```
18
Lattice="5.495 0.000 0.000 -2.747 4.759 0.000 0.000 0.000 9.571" Properties=species:S:1:pos:R:3 pbc="T T T"
Cd 0.000 0.000 0.000
Cd 0.000 0.000 4.786
Te 0.000 3.172 2.393
Te 2.747 1.586 7.179
W 0.000 3.172 7.179
W 2.747 1.586 2.393
O -0.876 1.781 6.101
O -1.643 3.110 8.256
O 0.876 1.781 8.256
O -0.767 4.626 6.101
O 1.980 0.132 1.315
O 1.105 1.649 3.470
O 1.643 3.110 6.101
O 0.767 4.626 8.256
O 3.515 0.132 3.470
O 1.872 2.978 1.315
O 4.390 1.649 1.315
O 3.623 2.978 3.470
```

Properties
uncorrected energy	-5.9620	eV/atom

=====

Which mass density belongs to each record? In order, 5.346 4.770 5.766 6.390 6.898 g/cm³.
Which density of states at the Fermi level belongs to each record? In order, 0.10 1.94 5.16 5.01 0.00 states/eV/f.u..